No. 1
# TiCdSb2 (PBE, relaxed)
data_TiCdSb2
_chemical_formula_sum 'Ti1 Cd1 Sb2'
_space_group_name_H-M_alt 'P 1'
_space_group_IT_number 1
_space_group_name_Hall 'P 1'
_cell_length_a 11.252
_cell_length_b 11.252
_cell_length_c 11.252
_cell_angle_alpha 16.40
_cell_angle_beta 16.40
_cell_angle_gamma 16.40
loop_
_atom_site_label
_atom_site_type_symbol
_atom_site_fract_x
_atom_site_fract_y
_atom_site_fract_z
_atom_site_occupancy
Ti1 Ti 0.000 0.000 0.000 1
Cd1 Cd 0.500 0.500 0.500 1
Sb1 Sb 0.400 0.400 0.400 1
Sb2 Sb 0.600 0.600 0.600 1
# Raw formation energy ... -10.1 kJ/mol of atoms
# Space group ... R-3m, No. 166
# M_tot ... 0.0 Bohr magnetons per cell
# V ... 24.766 Å³ per atom

=====

No. 2
# Ti2Cd2Sb (PBE, relaxed)
data_Ti2Cd2Sb
_chemical_formula_sum 'Ti4 Cd4 Sb2'
_space_group_name_H-M_alt 'P 1'
_space_group_IT_number 1
_space_group_name_Hall 'P 1'
_cell_length_a 6.963
_cell_length_b 6.963
_cell_length_c 4.456
_cell_angle_alpha 90.00
_cell_angle_beta 90.00
_cell_angle_gamma 90.00
loop_
_atom_site_label
_atom_site_type_symbol
_atom_site_fract_x
_atom_site_fract_y
_atom_site_fract_z
_atom_site_occupancy
Ti1 Ti 0.142 0.358 0.000 1
Ti2 Ti 0.358 0.858 0.000 1
Ti3 Ti 0.642 0.142 0.000 1
Ti4 Ti 0.858 0.642 0.000 1
Cd1 Cd 0.153 0.653 0.500 1
Cd2 Cd 0.347 0.153 0.500 1
Cd3 Cd 0.653 0.847 0.500 1
Cd4 Cd 0.847 0.347 0.500 1
Sb1 Sb 0.000 0.000 0.000 1
Sb2 Sb 0.500 0.500 0.000 1
# Raw formation energy ... -1.8 kJ/mol of atoms
# Space group ... P4/mbm, No. 127
# M_tot ... 2.1 Bohr magnetons per cell
# V ... 21.600 Å³ per atom

=====

No. 3
# Ti2CdSb (PBE, relaxed)
data_Ti2CdSb
_chemical_formula_sum 'Ti2 Cd1 Sb1'
_space_group_name_H-M_alt 'P 1'
_space_group_IT_number 1
_space_group_name_Hall 'P 1'
_cell_length_a 4.265
_cell_length_b 4.265
_cell_length_c 4.185
_cell_angle_alpha 90.00
_cell_angle_beta 90.00
_cell_angle_gamma 90.00
loop_
_atom_site_label
_atom_site_type_symbol
_atom_site_fract_x
_atom_site_fract_y
_atom_site_fract_z
_atom_site_occupancy
Ti1 Ti 0.000 0.500 0.000 1
Ti2 Ti 0.500 0.000 0.000 1
Cd1 Cd 0.000 0.000 0.500 1
Sb1 Sb 0.500 0.500 0.500 1
# Raw formation energy ... -13.6 kJ/mol of atoms
# Space group ... P4/mmm, No. 123
# M_tot ... 0.0 Bohr magnetons per cell
# V ... 19.032 Å³ per atom

=====

No. 4
# TlCd2Sb (PBE, relaxed)
data_TlCd2Sb
_chemical_formula_sum 'Tl1 Cd2 Sb1'
_space_group_name_H-M_alt 'P 1'
_space_group_IT_number 1
_space_group_name_Hall 'P 1'
_cell_length_a 3.368
_cell_length_b 3.368
_cell_length_c 9.319
_cell_angle_alpha 90.00
_cell_angle_beta 90.00
_cell_angle_gamma 90.00
loop_
_atom_site_label
_atom_site_type_symbol
_atom_site_fract_x
_atom_site_fract_y
_atom_site_fract_z
_atom_site_occupancy
Tl1 Tl 0.000 0.000 0.000 1
Cd1 Cd 0.000 0.000 0.474 1
Cd2 Cd 0.500 0.500 0.261 1
Sb1 Sb 0.500 0.500 0.717 1
# Raw formation energy ... 6.0 kJ/mol of atoms
# Space group ... P4mm, No. 99
# M_tot ... 0.0 Bohr magnetons per cell
# V ... 26.434 Å³ per atom

=====

No. 5
# Tl5Cd4Sb4 (PBE, relaxed)
data_Tl5Cd4Sb4
_chemical_formula_sum 'Tl5 Cd4 Sb4'
_space_group_name_H-M_alt 'P 1'
_space_group_IT_number 1
_space_group_name_Hall 'P 1'
_cell_length_a 9.432
_cell_length_b 9.432
_cell_length_c 9.432
_cell_angle_alpha 93.63
_cell_angle_beta 93.63
_cell_angle_gamma 150.84
loop_
_atom_site_label
_atom_site_type_symbol
_atom_site_fract_x
_atom_site_fract_y
_atom_site_fract_z
_atom_site_occupancy
Tl1 Tl 0.000 0.000 0.000 1
Tl2 Tl 0.310 0.609 0.919 1
Tl3 Tl 0.391 0.310 0.701 1
Tl4 Tl 0.609 0.690 0.299 1
Tl5 Tl 0.690 0.391 0.081 1
Cd1 Cd 0.103 0.400 0.503 1
Cd2 Cd 0.400 0.897 0.298 1
Cd3 Cd 0.600 0.103 0.702 1
Cd4 Cd 0.897 0.600 0.497 1
Sb1 Sb 0.078 0.734 0.812 1
Sb2 Sb 0.266 0.078 0.345 1
Sb3 Sb 0.734 0.922 0.655 1
Sb4 Sb 0.922 0.266 0.188 1
# Raw formation energy ... -3.9 kJ/mol of atoms
# Space group ... I4/m, No. 87
# M_tot ... 0.0 Bohr magnetons per cell
# V ... 30.433 Å³ per atom

=====

No. 6
# TlCd2Sb (PBE, relaxed)
data_TlCd2Sb
_chemical_formula_sum 'Tl1 Cd2 Sb1'
_space_group_name_H-M_alt 'P 1'
_space_group_IT_number 1
_space_group_name_Hall 'P 1'
_cell_length_a 3.396
_cell_length_b 4.215
_cell_length_c 7.558
_cell_angle_alpha 90.00
_cell_angle_beta 90.00
_cell_angle_gamma 90.00
loop_
_atom_site_label
_atom_site_type_symbol
_atom_site_fract_x
_atom_site_fract_y
_atom_site_fract_z
_atom_site_occupancy
Tl1 Tl 0.000 0.000 0.000 1
Cd1 Cd 0.000 0.000 0.492 1
Cd2 Cd 0.500 0.500 0.276 1
Sb1 Sb 0.500 0.500 0.713 1
# Raw formation energy ... 6.9 kJ/mol of atoms
# Space group ... Pmm2, No. 25
# M_tot ... 0.0 Bohr magnetons per cell
# V ... 27.048 Å³ per atom

=====

No. 7
# Tl3CdSb2 (PBE, relaxed)
data_Tl3CdSb2
_chemical_formula_sum 'Tl6 Cd2 Sb4'
_space_group_name_H-M_alt 'P 1'
_space_group_IT_number 1
_space_group_name_Hall 'P 1'
_cell_length_a 9.309
_cell_length_b 9.309
_cell_length_c 9.309
_cell_angle_alpha 135.53
_cell_angle_beta 64.36
_cell_angle_gamma 135.98
loop_
_atom_site_label
_atom_site_type_symbol
_atom_site_fract_x
_atom_site_fract_y
_atom_site_fract_z
_atom_site_occupancy
Tl1 Tl 0.175 0.246 0.421 1
Tl2 Tl 0.250 0.250 0.000 1
Tl3 Tl 0.325 0.746 0.071 1
Tl4 Tl 0.675 0.254 0.929 1
Tl5 Tl 0.750 0.750 0.000 1
Tl6 Tl 0.825 0.754 0.579 1
Cd1 Cd 0.250 0.750 0.500 1
Cd2 Cd 0.750 0.250 0.500 1
Sb1 Sb 0.118 0.724 0.842 1
Sb2 Sb 0.382 0.224 0.606 1
Sb3 Sb 0.618 0.776 0.394 1
Sb4 Sb 0.882 0.276 0.158 1
# Raw formation energy ... 0.1 kJ/mol of atoms
# Space group ... Ibam, No. 72
# M_tot ... 0.0 Bohr magnetons per cell
# V ... 32.278 Å³ per atom

=====

No. 8
# TlCdSb2 (PBE, relaxed)
data_TlCdSb2
_chemical_formula_sum 'Tl1 Cd1 Sb2'
_space_group_name_H-M_alt 'P 1'
_space_group_IT_number 1
_space_group_name_Hall 'P 1'
_cell_length_a 6.118
_cell_length_b 6.118
_cell_length_c 3.297
_cell_angle_alpha 90.00
_cell_angle_beta 90.00
_cell_angle_gamma 115.21
loop_
_atom_site_label
_atom_site_type_symbol
_atom_site_fract_x
_atom_site_fract_y
_atom_site_fract_z
_atom_site_occupancy
Tl1 Tl 0.000 0.000 0.000 1
Cd1 Cd 0.500 0.500 0.000 1
Sb1 Sb 0.000 0.500 0.500 1
Sb2 Sb 0.500 0.000 0.500 1
# Raw formation energy ... 12.7 kJ/mol of atoms
# Space group ... Cmmm, No. 65
# M_tot ... 0.0 Bohr magnetons per cell
# V ... 27.907 Å³ per atom

=====

No. 9
# Tl8Cd2Sb (PBE, relaxed)
data_Tl8Cd2Sb
_chemical_formula_sum 'Tl8 Cd2 Sb1'
_space_group_name_H-M_alt 'P 1'
_space_group_IT_number 1
_space_group_name_Hall 'P 1'
_cell_length_a 5.399
_cell_length_b 7.546
_cell_length_c 9.423
_cell_angle_alpha 66.58
_cell_angle_beta 74.10
_cell_angle_gamma 89.79
loop_
_atom_site_label
_atom_site_type_symbol
_atom_site_fract_x
_atom_site_fract_y
_atom_site_fract_z
_atom_site_occupancy
Tl1 Tl 0.000 0.000 0.000 1
Tl2 Tl 0.036 0.497 0.927 1
Tl3 Tl 0.216 0.402 0.564 1
Tl4 Tl 0.332 0.890 0.329 1
Tl5 Tl 0.454 0.643 0.088 1
Tl6 Tl 0.633 0.094 0.730 1
Tl7 Tl 0.670 0.667 0.656 1
Tl8 Tl 0.830 0.175 0.329 1
Cd1 Cd 0.167 0.924 0.659 1
Cd2 Cd 0.502 0.255 0.000 1
Sb1 Sb 0.835 0.601 0.325 1
# Raw formation energy ... 3.2 kJ/mol of atoms
# Space group ... P1, No. 1
# M_tot ... 0.0 Bohr magnetons per cell
# V ... 30.583 Å³ per atom

=====

No. 10
# TlCdSb (PBE, relaxed)
data_TlCdSb
_chemical_formula_sum 'Tl1 Cd1 Sb1'
_space_group_name_H-M_alt 'P 1'
_space_group_IT_number 1
_space_group_name_Hall 'P 1'
_cell_length_a 5.177
_cell_length_b 5.177
_cell_length_c 5.177
_cell_angle_alpha 60.00
_cell_angle_beta 60.00
_cell_angle_gamma 60.00
loop_
_atom_site_label
_atom_site_type_symbol
_atom_site_fract_x
_atom_site_fract_y
_atom_site_fract_z
_atom_site_occupancy
Tl1 Tl 0.000 0.000 0.000 1
Cd1 Cd 0.500 0.500 0.500 1
Sb1 Sb 0.250 0.250 0.250 1
# Raw formation energy ... 3.2 kJ/mol of atoms
# Space group ... F-43m, No. 216
# M_tot ... 0.0 Bohr magnetons per cell
# V ... 32.695 Å³ per atom

=====

No. 11
# TlCdSb2 (PBE, relaxed)
data_TlCdSb2
_chemical_formula_sum 'Tl1 Cd1 Sb2'
_space_group_name_H-M_alt 'P 1'
_space_group_IT_number 1
_space_group_name_Hall 'P 1'
_cell_length_a 5.589
_cell_length_b 5.589
_cell_length_c 6.674
_cell_angle_alpha 92.42
_cell_angle_beta 92.42
_cell_angle_gamma 33.33
loop_
_atom_site_label
_atom_site_type_symbol
_atom_site_fract_x
_atom_site_fract_y
_atom_site_fract_z
_atom_site_occupancy
Tl1 Tl 0.000 0.000 0.000 1
Cd1 Cd 0.748 0.748 0.244 1
Sb1 Sb 0.252 0.252 0.699 1
Sb2 Sb 0.497 0.497 0.490 1
# Raw formation energy ... 12.8 kJ/mol of atoms
# Space group ... Cm, No. 8
# M_tot ... 0.0 Bohr magnetons per cell
# V ... 28.609 Å³ per atom

=====

No. 12
# TlCd2Sb (PBE, relaxed)
data_TlCd2Sb
_chemical_formula_sum 'Tl1 Cd2 Sb1'
_space_group_name_H-M_alt 'P 1'
_space_group_IT_number 1
_space_group_name_Hall 'P 1'
_cell_length_a 6.041
_cell_length_b 6.041
_cell_length_c 6.041
_cell_angle_alpha 135.47
_cell_angle_beta 135.47
_cell_angle_gamma 64.80
loop_
_atom_site_label
_atom_site_type_symbol
_atom_site_fract_x
_atom_site_fract_y
_atom_site_fract_z
_atom_site_occupancy
Tl1 Tl 0.000 0.000 0.000 1
Cd1 Cd 0.250 0.750 0.500 1
Cd2 Cd 0.500 0.500 0.000 1
Sb1 Sb 0.750 0.250 0.500 1
# Raw formation energy ... 7.8 kJ/mol of atoms
# Space group ... I-4m2, No. 119
# M_tot ... 0.0 Bohr magnetons per cell
# V ... 26.721 Å³ per atom

=====

No. 13
# TlCdSb2 (PBE, relaxed)
data_TlCdSb2
_chemical_formula_sum 'Tl1 Cd1 Sb2'
_space_group_name_H-M_alt 'P 1'
_space_group_IT_number 1
_space_group_name_Hall 'P 1'
_cell_length_a 3.937
_cell_length_b 3.937
_cell_length_c 7.621
_cell_angle_alpha 90.00
_cell_angle_beta 90.00
_cell_angle_gamma 90.00
loop_
_atom_site_label
_atom_site_type_symbol
_atom_site_fract_x
_atom_site_fract_y
_atom_site_fract_z
_atom_site_occupancy
Tl1 Tl 0.000 0.000 0.000 1
Cd1 Cd 0.500 0.500 0.240 1
Sb1 Sb 0.000 0.000 0.493 1
Sb2 Sb 0.500 0.500 0.667 1
# Raw formation energy ... 7.8 kJ/mol of atoms
# Space group ... P4mm, No. 99
# M_tot ... 0.0 Bohr magnetons per cell
# V ... 29.528 Å³ per atom

=====

No. 14
# Tl9CdSb2 (PBE, relaxed)
data_Tl9CdSb2
_chemical_formula_sum 'Tl9 Cd1 Sb2'
_space_group_name_H-M_alt 'P 1'
_space_group_IT_number 1
_space_group_name_Hall 'P 1'
_cell_length_a 4.976
_cell_length_b 4.976
_cell_length_c 14.831
_cell_angle_alpha 90.00
_cell_angle_beta 90.00
_cell_angle_gamma 90.00
loop_
_atom_site_label
_atom_site_type_symbol
_atom_site_fract_x
_atom_site_fract_y
_atom_site_fract_z
_atom_site_occupancy
Tl1 Tl 0.000 0.000 0.000 1
Tl2 Tl 0.000 0.000 0.339 1
Tl3 Tl 0.000 0.000 0.661 1
Tl4 Tl 0.000 0.500 0.172 1
Tl5 Tl 0.000 0.500 0.500 1
Tl6 Tl 0.000 0.500 0.828 1
Tl7 Tl 0.500 0.000 0.172 1
Tl8 Tl 0.500 0.000 0.500 1
Tl9 Tl 0.500 0.000 0.828 1
Cd1 Cd 0.500 0.500 0.000 1
Sb1 Sb 0.500 0.500 0.329 1
Sb2 Sb 0.500 0.500 0.671 1
# Raw formation energy ... 1.0 kJ/mol of atoms
# Space group ... P4/mmm, No. 123
# M_tot ... 0.0 Bohr magnetons per cell
# V ... 30.599 Å³ per atom

=====

No. 15
# TlCd2Sb (PBE, relaxed)
data_TlCd2Sb
_chemical_formula_sum 'Tl1 Cd2 Sb1'
_space_group_name_H-M_alt 'P 1'
_space_group_IT_number 1
_space_group_name_Hall 'P 1'
_cell_length_a 10.654
_cell_length_b 10.654
_cell_length_c 10.654
_cell_angle_alpha 18.46
_cell_angle_beta 18.46
_cell_angle_gamma 18.46
loop_
_atom_site_label
_atom_site_type_symbol
_atom_site_fract_x
_atom_site_fract_y
_atom_site_fract_z
_atom_site_occupancy
Tl1 Tl 0.000 0.000 0.000 1
Cd1 Cd 0.249 0.249 0.249 1
Cd2 Cd 0.751 0.751 0.751 1
Sb1 Sb 0.500 0.500 0.500 1
# Raw formation energy ... 9.2 kJ/mol of atoms
# Space group ... R-3m, No. 166
# M_tot ... 0.0 Bohr magnetons per cell
# V ... 26.489 Å³ per atom

=====

No. 16
# Tl2Cd2Sb (PBE, relaxed)
data_Tl2Cd2Sb
_chemical_formula_sum 'Tl2 Cd2 Sb1'
_space_group_name_H-M_alt 'P 1'
_space_group_IT_number 1
_space_group_name_Hall 'P 1'
_cell_length_a 9.813
_cell_length_b 9.813
_cell_length_c 9.813
_cell_angle_alpha 156.24
_cell_angle_beta 156.24
_cell_angle_gamma 33.85
loop_
_atom_site_label
_atom_site_type_symbol
_atom_site_fract_x
_atom_site_fract_y
_atom_site_fract_z
_atom_site_occupancy
Tl1 Tl 0.096 0.096 0.000 1
Tl2 Tl 0.904 0.904 0.000 1
Cd1 Cd 0.250 0.750 0.500 1
Cd2 Cd 0.750 0.250 0.500 1
Sb1 Sb 0.500 0.500 0.000 1
# Raw formation energy ... 11.9 kJ/mol of atoms
# Space group ... I4/mmm, No. 139
# M_tot ... 0.0 Bohr magnetons per cell
# V ... 30.648 Å³ per atom

=====

No. 17
# TlCdSb2 (PBE, relaxed)
data_TlCdSb2
_chemical_formula_sum 'Tl1 Cd1 Sb2'
_space_group_name_H-M_alt 'P 1'
_space_group_IT_number 1
_space_group_name_Hall 'P 1'
_cell_length_a 5.410
_cell_length_b 5.410
_cell_length_c 5.410
_cell_angle_alpha 60.00
_cell_angle_beta 60.00
_cell_angle_gamma 60.00
loop_
_atom_site_label
_atom_site_type_symbol
_atom_site_fract_x
_atom_site_fract_y
_atom_site_fract_z
_atom_site_occupancy
Tl1 Tl 0.000 0.000 0.000 1
Cd1 Cd 0.750 0.750 0.750 1
Sb1 Sb 0.250 0.250 0.250 1
Sb2 Sb 0.500 0.500 0.500 1
# Raw formation energy ... 14.9 kJ/mol of atoms
# Space group ... F-43m, No. 216
# M_tot ... 0.0 Bohr magnetons per cell
# V ... 27.993 Å³ per atom

=====

No. 18
# Tl2Cd2Sb (PBE, relaxed)
data_Tl2Cd2Sb
_chemical_formula_sum 'Tl2 Cd2 Sb1'
_space_group_name_H-M_alt 'P 1'
_space_group_IT_number 1
_space_group_name_Hall 'P 1'
_cell_length_a 7.961
_cell_length_b 7.961
_cell_length_c 7.961
_cell_angle_alpha 147.49
_cell_angle_beta 147.49
_cell_angle_gamma 46.63
loop_
_atom_site_label
_atom_site_type_symbol
_atom_site_fract_x
_atom_site_fract_y
_atom_site_fract_z
_atom_site_occupancy
Tl1 Tl 0.250 0.750 0.500 1
Tl2 Tl 0.750 0.250 0.500 1
Cd1 Cd 0.093 0.093 0.000 1
Cd2 Cd 0.907 0.907 0.000 1
Sb1 Sb 0.500 0.500 0.000 1
# Raw formation energy ... 19.5 kJ/mol of atoms
# Space group ... I4/mmm, No. 139
# M_tot ... 0.0 Bohr magnetons per cell
# V ... 29.034 Å³ per atom

=====

No. 19
# TlCdSb (PBE, relaxed)
data_TlCdSb
_chemical_formula_sum 'Tl1 Cd1 Sb1'
_space_group_name_H-M_alt 'P 1'
_space_group_IT_number 1
_space_group_name_Hall 'P 1'
_cell_length_a 5.754
_cell_length_b 5.754
_cell_length_c 5.754
_cell_angle_alpha 146.59
_cell_angle_beta 125.32
_cell_angle_gamma 65.62
loop_
_atom_site_label
_atom_site_type_symbol
_atom_site_fract_x
_atom_site_fract_y
_atom_site_fract_z
_atom_site_occupancy
Tl1 Tl 0.000 0.000 0.000 1
Cd1 Cd 0.670 0.670 0.000 1
Sb1 Sb 0.340 0.340 0.000 1
# Raw formation energy ... 9.2 kJ/mol of atoms
# Space group ... Imm2, No. 44
# M_tot ... 0.0 Bohr magnetons per cell
# V ... 28.180 Å³ per atom

=====

No. 20
# Tl2Cd2Sb (PBE, relaxed)
data_Tl2Cd2Sb
_chemical_formula_sum 'Tl4 Cd4 Sb2'
_space_group_name_H-M_alt 'P 1'
_space_group_IT_number 1
_space_group_name_Hall 'P 1'
_cell_length_a 9.291
_cell_length_b 9.291
_cell_length_c 3.296
_cell_angle_alpha 90.00
_cell_angle_beta 90.00
_cell_angle_gamma 90.00
loop_
_atom_site_label
_atom_site_type_symbol
_atom_site_fract_x
_atom_site_fract_y
_atom_site_fract_z
_atom_site_occupancy
Tl1 Tl 0.186 0.314 0.000 1
Tl2 Tl 0.314 0.814 0.000 1
Tl3 Tl 0.686 0.186 0.000 1
Tl4 Tl 0.814 0.686 0.000 1
Cd1 Cd 0.115 0.615 0.500 1
Cd2 Cd 0.385 0.115 0.500 1
Cd3 Cd 0.615 0.885 0.500 1
Cd4 Cd 0.885 0.385 0.500 1
Sb1 Sb 0.000 0.000 0.000 1
Sb2 Sb 0.500 0.500 0.000 1
# Raw formation energy ... 14.1 kJ/mol of atoms
# Space group ... P4/mbm, No. 127
# M_tot ... 0.0 Bohr magnetons per cell
# V ... 28.449 Å³ per atom